A plane-wave DFT calculation with PBE was carried out for crystalline KInPb at its relaxed geometry.

Lattice parameters (Å, degrees): 3.637 3.637 15.165 90.00 90.00 90.00
Space group I4mm (No. 107)
One atom of each set of equivalent atoms:
1 K 0.000 0.000 0.000
2 In 0.000 0.000 0.323
3 Pb 0.000 0.000 0.685

Properties
Its crystal system is tetragonal. As for the calculated formation energy: -0.1026 eV/atom.

=====

A plane-wave DFT calculation with PBE was carried out for crystalline CuRh5 at its relaxed geometry.

Lattice parameters (Å, degrees): 7.171 7.171 7.171 90.00 90.00 90.00
Space group F-43m (No. 216)
One atom of each set of equivalent atoms:
1 Cu 0.000 0.000 0.000
2 Rh 0.125 0.125 0.625
3 Rh 0.250 0.250 0.250

Properties
Its crystal system is cubic. As for the calculated formation energy: 0.4797 eV/atom. The value obtained for the energy relative to the lowest polymorph listed for this composition is 0.438 eV per atom.

=====

A plane-wave DFT calculation with PBE was carried out for crystalline NbGeNO2 at its relaxed geometry.

Lattice parameters (Å, degrees): 3.690 3.690 3.907 90.00 90.00 90.00
Space group P4/mmm (No. 123)
One atom of each set of equivalent atoms:
1 Nb 0.000 0.000 0.000
2 Ge 0.500 0.500 0.500
3 N 0.500 0.500 0.000
4 O 0.000 0.500 0.500

Properties
Its crystal system is tetragonal. The formation energy from raw total energies comes out at -387 meV per atom.

=====

A plane-wave DFT calculation with PBE was carried out for crystalline GaClO at its relaxed geometry.

Lattice parameters (Å, degrees): 16.411 5.636 10.539 90.00 127.24 90.00
Space group Cc (No. 9)
One atom of each set of equivalent atoms:
1 Ga 0.000 0.079 0.000
2 Ga 0.165 0.281 0.954
3 Ga 0.291 0.216 0.580
4 Cl 0.118 0.178 0.682
5 Cl 0.359 0.349 0.844
6 Cl 0.452 0.195 0.624
7 O 0.040 0.253 0.909
8 O 0.202 0.424 0.438
9 O 0.272 0.090 0.091

Properties
Its crystal system is monoclinic. The formation energy from raw total energies comes out at -1304 meV per atom.

=====

A plane-wave DFT calculation with PBE was carried out for crystalline SrScAl2Au5 at its relaxed geometry.

Lattice parameters (Å, degrees): 4.966 4.966 7.878 90.00 90.00 90.00
Space group P4/mmm (No. 123)
One atom of each set of equivalent atoms:
1 Sr 0.000 0.000 0.000
2 Sc 0.000 0.000 0.500
3 Al 0.500 0.500 0.333
4 Au 0.000 0.500 0.285
5 Au 0.500 0.500 0.000

Properties
Its crystal system is tetragonal. As for the calculated formation energy: -0.4809 eV/atom.

=====

A plane-wave DFT calculation with PBE was carried out for crystalline Zn3RuN at its relaxed geometry.

Lattice parameters (Å, degrees): 4.055 4.055 4.055 90.00 90.00 90.00
Space group Pm-3m (No. 221)
One atom of each set of equivalent atoms:
1 Zn 0.000 0.000 0.500
2 Ru 0.500 0.500 0.500
3 N 0.000 0.000 0.000

Properties
Its crystal system is cubic. The value obtained for the energy relative to the lowest polymorph listed for this composition is 0.000 eV per atom. The formation energy from raw total energies comes out at 554 meV per atom.

=====

no.,M_tot (μB per formula unit),total energy (eV/atom)
1,0.000,-2.617
2,2.758,-6.329
3,1.850,-6.973
4,0.025,-4.581
5,0.000,-4.024
6,0.000,-3.730